Entry 1:
BaTcP2: relaxed, PBE.

Calculated values
DFT total energy ... -0.2311 Ha/atom
Formation energy ... -512 meV per atom
Crystal system ... tetragonal

Unit cell a=5.3137 b=5.3137 c=14.5859 alpha=90.00 beta=90.00 gamma=90.00
Space group I4_1/amd (No. 141, origin choice 2)
Symmetry-distinct sites (fractional):
Ba  0.0000  0.2500  0.3750
Tc  0.0000  0.2500  0.8750
P  0.0000  0.0000  0.0000

Entry 2:
BaTlTcP: relaxed, PBE.

Calculated values
DFT total energy ... -0.2037 Ha/atom
Formation energy ... -525 meV per atom
Crystal system ... tetragonal

Unit cell a=4.2622 b=4.2622 c=12.1396 alpha=90.00 beta=90.00 gamma=90.00
Space group P4/nmm (No. 129, origin choice 2)
Symmetry-distinct sites (fractional):
Ba  0.2500  0.2500  0.2262
Tl  0.2500  0.7500  0.5000
Tc  0.2500  0.7500  0.0000
P  0.2500  0.2500  0.9122

Entry 3:
BaVTc2P: relaxed, PBE.

Calculated values
DFT total energy ... -0.2470 Ha/atom
Formation energy ... 716 meV per atom
Crystal system ... tetragonal

Unit cell a=4.6784 b=4.6784 c=4.7707 alpha=90.00 beta=90.00 gamma=90.00
Space group P4/mmm (No. 123)
Symmetry-distinct sites (fractional):
Ba  0.0000  0.0000  0.0000
V  0.5000  0.5000  0.5000
Tc  0.0000  0.5000  0.5000
P  0.5000  0.5000  0.0000

Entry 4:
BaZn2TcP: relaxed, PBE.

Calculated values
DFT total energy ... -0.1610 Ha/atom
Formation energy ... -331 meV per atom
Crystal system ... tetragonal

Unit cell a=4.9880 b=4.9880 c=4.5749 alpha=90.00 beta=90.00 gamma=90.00
Space group P4/mmm (No. 123)
Symmetry-distinct sites (fractional):
Ba  0.0000  0.0000  0.0000
Zn  0.0000  0.5000  0.5000
Tc  0.5000  0.5000  0.5000
P  0.5000  0.5000  0.0000

Entry 5:
BaTe2P4: relaxed, PBE.

Calculated values
DFT total energy ... -0.1756 Ha/atom
Formation energy without anion corrections ... -0.515 eV per atom
Crystal system ... orthorhombic

Unit cell a=16.7078 b=6.5263 c=7.2576 alpha=90.00 beta=90.00 gamma=90.00
Space group Pnma (No. 62)
Symmetry-distinct sites (fractional):
Ba  0.1609  0.2500  0.0989
Te  0.0640  0.7500  0.9343
Te  0.2469  0.2500  0.5857
P  0.0649  0.0078  0.4628
P  0.0968  0.2500  0.6646
P  0.1215  0.7500  0.6173

Entry 6:
BaTeP4: relaxed, PBE.

Calculated values
DFT total energy ... -0.1763 Ha/atom
Formation energy without anion corrections ... -0.346 eV per atom
Crystal system ... cubic

Unit cell a=8.7037 b=8.7037 c=8.7037 alpha=90.00 beta=90.00 gamma=90.00
Space group F-43m (No. 216)
Symmetry-distinct sites (fractional):
Ba  0.0000  0.0000  0.0000
Te  0.2500  0.2500  0.2500
P  0.0900  0.0900  0.5900

Entry 7:
Ba3TeP: relaxed, PBE.

Calculated values
DFT total energy ... -0.1483 Ha/atom
Formation energy without anion corrections ... -1.172 eV per atom
Crystal system ... monoclinic

Unit cell a=9.9323 b=4.6693 c=9.9994 alpha=90.00 beta=104.17 gamma=90.00
Space group P2_1/m (No. 11)
Symmetry-distinct sites (fractional):
Ba  0.0594  0.2500  0.3406
Ba  0.2569  0.2500  0.9937
Ba  0.3846  0.7500  0.6468
Te  0.3238  0.7500  0.2775
P  0.1715  0.2500  0.6737

Entry 8:
Ba2TeP: relaxed, PBE.

Calculated values
DFT total energy ... -0.1515 Ha/atom
Formation energy without anion corrections ... -1.023 eV per atom
Crystal system ... cubic

Unit cell a=8.2327 b=8.2327 c=8.2327 alpha=90.00 beta=90.00 gamma=90.00
Space group Fm-3m (No. 225)
Symmetry-distinct sites (fractional):
Ba  0.2500  0.2500  0.2500
Te  0.0000  0.0000  0.0000
P  0.0000  0.0000  0.5000

Entry 9:
Ba2TeP: relaxed, PBE.

Calculated values
DFT total energy ... -0.1558 Ha/atom
Formation energy without anion corrections ... -1.139 eV per atom
Crystal system ... tetragonal

Unit cell a=4.8650 b=4.8650 c=6.8713 alpha=90.00 beta=90.00 gamma=90.00
Space group P4/mmm (No. 123)
Symmetry-distinct sites (fractional):
Ba  0.0000  0.0000  0.0000
Ba  0.5000  0.5000  0.5000
Te  0.0000  0.0000  0.5000
P  0.5000  0.5000  0.0000

Entry 10:
Ba3Te12P5: relaxed, PBE.

Calculated values
DFT total energy ... -0.1408 Ha/atom
Formation energy without anion corrections ... -0.305 eV per atom
Crystal system ... cubic

Unit cell a=17.7685 b=17.7685 c=17.7685 alpha=90.00 beta=90.00 gamma=90.00
Space group Ia-3d (No. 230)
Symmetry-distinct sites (fractional):
Ba  0.0000  0.2500  0.1250
Te  0.0336  0.0497  0.6454
P  0.0000  0.0000  0.0000
P  0.0000  0.2500  0.3750

Entry 11:
Ba3TeP: relaxed, PBE.

Calculated values
DFT total energy ... -0.1395 Ha/atom
Formation energy without anion corrections ... -0.933 eV per atom
Crystal system ... cubic

Unit cell a=6.1365 b=6.1365 c=6.1365 alpha=90.00 beta=90.00 gamma=90.00
Space group Pm-3m (No. 221)
Symmetry-distinct sites (fractional):
Ba  0.0000  0.0000  0.5000
Te  0.5000  0.5000  0.5000
P  0.0000  0.0000  0.0000

Entry 12:
BaTe4P: relaxed, PBE.

Calculated values
DFT total energy ... -0.1205 Ha/atom
Formation energy without anion corrections ... 0.036 eV per atom
Crystal system ... cubic

Unit cell a=9.1979 b=9.1979 c=9.1979 alpha=90.00 beta=90.00 gamma=90.00
Space group F-43m (No. 216)
Symmetry-distinct sites (fractional):
Ba  0.0000  0.0000  0.0000
Te  0.1246  0.1246  0.3754
P  0.2500  0.2500  0.7500